LaMgZr2O | Alexandria via LeMat-Bulk | PBE | optimized geometry; crystal system = tetragonal; space-group type = P4/mmm; raw formation energy = 0.527 eV per atom; ΔE to the lowest computed polymorph = 7.59 eV/f.u.; final energy = -5.189 eV/atom
1.0
5.823 0.000 0.000
0.000 5.823 0.000
0.000 0.000 4.146
La Mg Zr O
1 1 2 1
direct
0.000 0.000 0.000
0.500 0.500 0.500
0.000 0.500 0.000
0.500 0.000 0.000
0.000 0.000 0.500